# 1
Here is TbSmY2P4 after structural relaxation from Alexandria. Energies are from PBE-GGA.

Properties
ΔE_f = -1.609 eV per atom
DOS at the Fermi energy = 0.8 states/eV/f.u.
Total energy = -7.098 eV per atom

abc: 6.998 4.043 6.999
angles: 90.00 109.47 90.00
Space group P2/m (No. 10)
Asymmetric unit:
Tb (0.000, 0.000, 0.000) (multiplicity 1)
Sm (0.000, 0.500, 0.500) (multiplicity 1)
Y (0.500, 0.000, 0.500) (multiplicity 1)
Y (0.500, 0.500, 0.000) (multiplicity 1)
P (0.252, 0.500, 0.249) (multiplicity 2)
P (0.254, 0.000, 0.753) (multiplicity 2)


# 2
Here is Tb2SmY3P6 after structural relaxation from Alexandria. Energies are from PBE-GGA.

Properties
ΔE_f = -1.612 eV per atom
DOS at the Fermi energy = 1.6 states/eV/f.u.
Total energy = -7.098 eV per atom

abc: 6.989 12.103 6.988
angles: 90.00 109.45 90.00
Space group C2/m (No. 12)
Asymmetric unit:
Tb (0.000, 0.167, 0.000) (multiplicity 4)
Sm (0.000, 0.500, 0.000) (multiplicity 2)
Y (0.000, 0.000, 0.500) (multiplicity 2)
Y (0.000, 0.334, 0.500) (multiplicity 4)
P (0.248, 0.000, 0.252) (multiplicity 4)
P (0.248, 0.168, 0.748) (multiplicity 8)


# 3
Here is Tb2SmZrP4 after structural relaxation from Alexandria. Energies are from PBE-GGA.

Properties
ΔE_f = -1.528 eV per atom
DOS at the Fermi energy = 1.5 states/eV/f.u.
Total energy = -7.049 eV per atom

abc: 6.865 3.964 6.874
angles: 90.00 109.26 90.00
Space group P2/m (No. 10)
Asymmetric unit:
Tb (0.000, 0.000, 0.000) (multiplicity 1)
Tb (0.000, 0.500, 0.500) (multiplicity 1)
Sm (0.500, 0.000, 0.500) (multiplicity 1)
Zr (0.500, 0.500, 0.000) (multiplicity 1)
P (0.253, 0.500, 0.240) (multiplicity 2)
P (0.260, 0.000, 0.763) (multiplicity 2)


# 4
Here is SmTc3P3 after structural relaxation from Alexandria. Energies are from PBE-GGA.

Properties
ΔE_f = -0.636 eV per atom
DOS at the Fermi energy = 3.3 states/eV/f.u.
Total energy = -8.071 eV per atom

abc: 6.6907 6.6907 20.2399
angles: 90.00 90.00 120.00
Space group R-3 (No. 148, hexagonal axes)
Asymmetric unit:
Sm (0.0000, 0.0000, 0.1659) (multiplicity 6)
Tc (0.0204, 0.3124, 0.7110) (multiplicity 18)
P (0.0153, 0.3032, 0.5931) (multiplicity 18)


# 5
Here is SmTc3P3 after structural relaxation from Alexandria. Energies are from PBE-GGA.

Properties
ΔE_f = -0.299 eV per atom
DOS at the Fermi energy = 2.8 states/eV/f.u.
Total energy = -7.734 eV per atom

abc: 6.451 6.451 6.451
angles: 90.00 90.00 90.00
Space group Pm-3n (No. 223)
Asymmetric unit:
Sm (0.000, 0.000, 0.000) (multiplicity 2)
Tc (0.000, 0.250, 0.500) (multiplicity 6)
P (0.000, 0.500, 0.250) (multiplicity 6)


# 6
Here is SmTc2P2 after structural relaxation from Alexandria. Energies are from PBE-GGA.

Properties
ΔE_f = -0.903 eV per atom
DOS at the Fermi energy = 3.9 states/eV/f.u.
Total energy = -8.157 eV per atom

abc: 4.175 4.175 9.666
angles: 90.00 90.00 90.00
Space group I4/mmm (No. 139)
Asymmetric unit:
Sm (0.000, 0.000, 0.000) (multiplicity 2)
Tc (0.000, 0.500, 0.250) (multiplicity 4)
P (0.000, 0.000, 0.365) (multiplicity 4)


# 7
Here is SmTc4P4 after structural relaxation from Alexandria. Energies are from PBE-GGA.

Properties
ΔE_f = -0.597 eV per atom
DOS at the Fermi energy = 6.0 states/eV/f.u.
Total energy = -8.133 eV per atom

abc: 5.962 5.962 7.873
angles: 90.00 90.00 90.00
Space group P4_2/nmc (No. 137, origin choice 2)
Asymmetric unit:
Sm (0.250, 0.750, 0.250) (multiplicity 2)
Tc (0.002, 0.250, 0.123) (multiplicity 8)
P (0.052, 0.250, 0.421) (multiplicity 8)


# 8
Here is SmTcP2 after structural relaxation from Alexandria. Energies are from PBE-GGA.

Properties
ΔE_f = -0.873 eV per atom
DOS at the Fermi energy = 1.0 states/eV/f.u.
Total energy = -7.349 eV per atom

abc: 4.1083 4.1083 14.4971
angles: 90.00 90.00 120.00
Space group R-3m (No. 166, hexagonal axes)
Asymmetric unit:
Sm (0.0000, 0.0000, 0.0000) (multiplicity 3)
Tc (0.0000, 0.0000, 0.5000) (multiplicity 3)
P (0.0000, 0.0000, 0.2145) (multiplicity 6)


# 9
Here is Sm6TeP5 after structural relaxation from Alexandria. Energies are from PBE-GGA.

Properties
DOS at the Fermi energy = 2.5 states/eV/f.u.
Total energy = -6.447 eV per atom
Formation energy (no corrections) = -1820 kJ/mol of formula units

abc: 7.224 12.486 7.214
angles: 90.00 109.54 90.00
Space group C2/m (No. 12)
Asymmetric unit:
Sm (0.236, 0.000, 0.259) (multiplicity 4)
Sm (0.238, 0.176, 0.741) (multiplicity 8)
Te (0.000, 0.500, 0.000) (multiplicity 2)
P (0.000, 0.000, 0.500) (multiplicity 2)
P (0.000, 0.167, 0.000) (multiplicity 4)
P (0.000, 0.338, 0.500) (multiplicity 4)


# 10
Here is Sm2TeP after structural relaxation from Alexandria. Energies are from PBE-GGA.

Properties
DOS at the Fermi energy = 2.8 states/eV/f.u.
Total energy = -6.041 eV per atom
Formation energy (no corrections) = -596 kJ/mol of formula units

abc: 4.1620 4.1620 22.2265
angles: 90.00 90.00 120.00
Space group R3m (No. 160, hexagonal axes)
Asymmetric unit:
Sm (0.0000, 0.0000, 0.0000) (multiplicity 3)
Sm (0.0000, 0.0000, 0.1930) (multiplicity 3)
Te (0.0000, 0.0000, 0.4293) (multiplicity 3)
P (0.0000, 0.0000, 0.5981) (multiplicity 3)


# 11
Here is Sm4TeP2 after structural relaxation from Alexandria. Energies are from PBE-GGA.

Properties
DOS at the Fermi energy = 4.3 states/eV/f.u.
Total energy = -5.986 eV per atom
Formation energy (no corrections) = -875 kJ/mol of formula units

abc: 4.1115 4.1115 41.2945
angles: 90.00 90.00 120.00
Space group R-3m (No. 166, hexagonal axes)
Asymmetric unit:
Sm (0.0000, 0.0000, 0.1275) (multiplicity 6)
Sm (0.0000, 0.0000, 0.2822) (multiplicity 6)
Te (0.0000, 0.0000, 0.0000) (multiplicity 3)
P (0.0000, 0.0000, 0.4225) (multiplicity 6)


# 12
Here is Sm5Te5P after structural relaxation from Alexandria. Energies are from PBE-GGA.

Properties
DOS at the Fermi energy = 4.2 states/eV/f.u.
Total energy = -5.538 eV per atom
Formation energy (no corrections) = -1563 kJ/mol of formula units

abc: 13.828 6.207 8.713
angles: 90.00 108.85 90.00
Space group C2/m (No. 12)
Asymmetric unit:
Sm (0.000, 0.000, 0.000) (multiplicity 2)
Sm (0.154, 0.500, 0.313) (multiplicity 4)
Sm (0.156, 0.500, 0.844) (multiplicity 4)
Te (0.000, 0.500, 0.500) (multiplicity 2)
Te (0.162, 0.000, 0.822) (multiplicity 4)
Te (0.171, 0.000, 0.337) (multiplicity 4)
P (0.000, 0.500, 0.000) (multiplicity 2)


# 13
Here is Sm5TeP4 after structural relaxation from Alexandria. Energies are from PBE-GGA.

Properties
DOS at the Fermi energy = 1.7 states/eV/f.u.
Total energy = -6.413 eV per atom
Formation energy (no corrections) = -1520 kJ/mol of formula units

abc: 13.867 4.157 10.275
angles: 90.00 119.67 90.00
Space group C2/m (No. 12)
Asymmetric unit:
Sm (0.000, 0.000, 0.000) (multiplicity 2)
Sm (0.110, 0.500, 0.387) (multiplicity 4)
Sm (0.207, 0.000, 0.817) (multiplicity 4)
Te (0.000, 0.000, 0.500) (multiplicity 2)
P (0.097, 0.500, 0.897) (multiplicity 4)
P (0.204, 0.000, 0.296) (multiplicity 4)


# 14
Here is Sm3Te2P after structural relaxation from Alexandria. Energies are from PBE-GGA.

Properties
DOS at the Fermi energy = 2.8 states/eV/f.u.
Total energy = -5.829 eV per atom
Formation energy (no corrections) = -880 kJ/mol of formula units

abc: 7.449 12.873 7.635
angles: 90.00 108.97 90.00
Space group C2/m (No. 12)
Asymmetric unit:
Sm (0.214, 0.000, 0.215) (multiplicity 4)
Sm (0.247, 0.179, 0.780) (multiplicity 8)
Te (0.000, 0.000, 0.500) (multiplicity 2)
Te (0.000, 0.341, 0.500) (multiplicity 4)
Te (0.000, 0.500, 0.000) (multiplicity 2)
P (0.000, 0.168, 0.000) (multiplicity 4)


# 15
Here is Sm7Te4P4 after structural relaxation from Alexandria. Energies are from PBE-GGA.

Properties
DOS at the Fermi energy = 3.6 states/eV/f.u.
Total energy = -5.800 eV per atom
Formation energy (no corrections) = -1906 kJ/mol of formula units

abc: 14.976 14.976 7.463
angles: 90.00 90.00 90.00
Space group I4/mmm (No. 139)
Asymmetric unit:
Sm (0.000, 0.000, 0.243) (multiplicity 4)
Sm (0.000, 0.289, 0.000) (multiplicity 8)
Sm (0.000, 0.366, 0.500) (multiplicity 8)
Sm (0.215, 0.215, 0.500) (multiplicity 8)
Te (0.000, 0.169, 0.500) (multiplicity 8)
Te (0.128, 0.128, 0.000) (multiplicity 8)
P (0.144, 0.356, 0.250) (multiplicity 16)


# 16
Here is Sm3TeP2 after structural relaxation from Alexandria. Energies are from PBE-GGA.

Properties
DOS at the Fermi energy = 2.1 states/eV/f.u.
Total energy = -5.807 eV per atom
Formation energy (no corrections) = -648 kJ/mol of formula units

abc: 7.430 11.611 8.505
angles: 90.00 90.00 90.00
Space group Imma (No. 74)
Asymmetric unit:
Sm (0.232, 0.000, 0.000) (multiplicity 8)
Sm (0.250, 0.250, 0.250) (multiplicity 4)
Te (0.000, 0.250, 0.923) (multiplicity 4)
P (0.000, 0.062, 0.287) (multiplicity 8)


# 17
Here is Sm3TeP after structural relaxation from Alexandria. Energies are from PBE-GGA.

Properties
DOS at the Fermi energy = 3.7 states/eV/f.u.
Total energy = -5.634 eV per atom
Formation energy (no corrections) = -527 kJ/mol of formula units

abc: 13.452 10.974 7.690
angles: 90.00 90.00 90.00
Space group Cmce (No. 64)
Asymmetric unit:
Sm (0.000, 0.063, 0.216) (multiplicity 8)
Sm (0.138, 0.176, 0.594) (multiplicity 16)
Te (0.250, 0.083, 0.250) (multiplicity 8)
P (0.000, 0.197, 0.880) (multiplicity 8)


# 18
Here is Sm2TeP after structural relaxation from Alexandria. Energies are from PBE-GGA.

Properties
DOS at the Fermi energy = 1.4 states/eV/f.u.
Total energy = -6.074 eV per atom
Formation energy (no corrections) = -608 kJ/mol of formula units

abc: 4.2031 4.2031 21.6973
angles: 90.00 90.00 120.00
Space group R-3m (No. 166, hexagonal axes)
Asymmetric unit:
Sm (0.0000, 0.0000, 0.2374) (multiplicity 6)
Te (0.0000, 0.0000, 0.0000) (multiplicity 3)
P (0.0000, 0.0000, 0.5000) (multiplicity 3)


# 19
Here is Sm8TeP6 after structural relaxation from Alexandria. Energies are from PBE-GGA.

Properties
DOS at the Fermi energy = 9.1 states/eV/f.u.
Total energy = -6.172 eV per atom
Formation energy (no corrections) = -1855 kJ/mol of formula units

abc: 10.5913 10.5913 4.2305
angles: 90.00 90.00 120.00
Space group P-3 (No. 147)
Asymmetric unit:
Sm (0.0342, 0.3502, 0.2432) (multiplicity 6)
Sm (0.3333, 0.6667, 0.7514) (multiplicity 2)
Te (0.0000, 0.0000, 0.0000) (multiplicity 1)
P (0.1374, 0.6595, 0.2553) (multiplicity 6)


# 20
Here is Sm8Te3P4 after structural relaxation from Alexandria. Energies are from PBE-GGA.

Properties
DOS at the Fermi energy = 8.3 states/eV/f.u.
Total energy = -5.953 eV per atom
Formation energy (no corrections) = -1975 kJ/mol of formula units

abc: 11.988 12.014 8.423
angles: 90.00 134.44 90.00
Space group C2/m (No. 12)
Asymmetric unit:
Sm (0.000, 0.236, 0.000) (multiplicity 4)
Sm (0.000, 0.238, 0.500) (multiplicity 4)
Sm (0.223, 0.000, 0.971) (multiplicity 4)
Sm (0.233, 0.000, 0.479) (multiplicity 4)
Te (0.000, 0.500, 0.000) (multiplicity 2)
Te (0.250, 0.250, 0.000) (multiplicity 4)
P (0.000, 0.000, 0.000) (multiplicity 2)
P (0.000, 0.000, 0.500) (multiplicity 2)
P (0.250, 0.250, 0.500) (multiplicity 4)


# 21
Here is Sm3Te2P after structural relaxation from Alexandria. Energies are from PBE-GGA.

Properties
DOS at the Fermi energy = 3.1 states/eV/f.u.
Total energy = -5.797 eV per atom
Formation energy (no corrections) = -862 kJ/mol of formula units

abc: 7.667 12.949 7.407
angles: 90.00 109.61 90.00
Space group C2/c (No. 15)
Asymmetric unit:
Sm (0.208, 0.072, 0.495) (multiplicity 8)
Sm (0.250, 0.250, 0.000) (multiplicity 4)
Te (0.000, 0.261, 0.250) (multiplicity 4)
Te (0.000, 0.420, 0.750) (multiplicity 4)
P (0.000, 0.089, 0.750) (multiplicity 4)